Entry 1:
Entry from Alexandria: Ca2TcRu after structural relaxation (PBEsol).

POSCAR file:
```
Ca2TcRu
1.0
-2.099 0.849 2.205
-1.052 -2.977 0.146
5.968 -1.796 6.372
Ru Ca Tc
1 2 1
Direct
0.000 0.000 0.558 Ru
0.000 0.000 0.932 Ca
0.500 0.500 0.321 Ca
0.500 0.500 0.689 Tc
```

## Properties
Total moment (μB/atom): 0.00
Volume (Å³/atom): 22.26
Formation enthalpy at 0 K (eV/atom): 0.26
SG: P4mm (99)
E (eV per formula unit): -24.674


Entry 2:
Entry from Alexandria: LiScF4 after structural relaxation (PBEsol).

POSCAR file:
```
LiScF4
1.0
4.976 0.000 0.000
0.000 4.976 0.000
-2.488 -2.488 5.004
F Li Sc
8 2 2
Direct
0.507 0.119 0.661 F
0.881 0.846 0.339 F
0.096 0.208 0.839 F
0.743 0.631 0.839 F
0.369 0.904 0.161 F
0.792 0.257 0.161 F
0.154 0.542 0.661 F
0.458 0.493 0.339 F
0.250 0.750 0.500 Li
0.000 0.000 0.000 Li
0.500 0.500 0.000 Sc
0.750 0.250 0.500 Sc
```

## Properties
Total moment (μB/atom): 0.00
ΔE_f (raw) (eV per atom): -3.643
Volume (Å³/atom): 10.33
SG: I4_1/a (88)
E (eV per formula unit): -38.137


Entry 3:
Entry from Alexandria: HfAlNi after structural relaxation (PBEsol).

POSCAR file:
```
HfAlNi
1.0
-2.207 0.533 2.539
-1.405 -6.658 0.176
5.024 2.521 3.838
Al Hf Ni
3 3 3
Direct
0.000 0.749 0.749 Al
0.000 0.251 0.000 Al
0.000 0.000 0.251 Al
0.500 0.592 0.000 Hf
0.500 0.408 0.408 Hf
0.500 0.000 0.592 Hf
0.000 0.667 0.333 Ni
0.000 0.333 0.667 Ni
0.500 0.000 0.000 Ni
```

## Properties
Total moment (μB/atom): 0.00
Volume (Å³/atom): 15.18
Formation enthalpy at 0 K (eV/atom): -0.66
SG: P-62m (189)
E (eV per formula unit): -22.735


Entry 4:
Entry from Alexandria: FeNi2Rh after structural relaxation (PBEsol).

POSCAR file:
```
FeNi2Rh
1.0
3.600 0.000 0.000
0.000 3.600 0.000
-1.800 -1.800 3.553
Ni Fe Rh
2 1 1
Direct
0.000 0.000 0.000 Ni
0.750 0.250 0.500 Ni
0.250 0.750 0.500 Fe
0.500 0.500 0.000 Rh
```

## Properties
Total moment (μB/atom): 1.14
Volume (Å³/atom): 11.51
Formation enthalpy at 0 K (eV/atom): -0.01
SG: I-4m2 (119)
E (eV per formula unit): -29.459


Entry 5:
Entry from Alexandria: Zn3Cu5 after structural relaxation (PBEsol).

POSCAR file:
```
Zn3Cu5
1.0
-1.374 -2.501 0.598
0.539 -0.943 -2.706
9.762 -4.521 3.522
Zn Cu
3 5
Direct
0.500 0.500 0.871 Zn
0.000 0.000 0.500 Zn
0.500 0.500 0.129 Zn
0.000 0.000 0.253 Cu
0.500 0.500 0.375 Cu
0.000 0.000 0.747 Cu
0.000 0.000 0.000 Cu
0.500 0.500 0.625 Cu
```

## Properties
Total moment (μB/atom): 0.00
Volume (Å³/atom): 12.03
Formation enthalpy at 0 K (eV/atom): -0.07
SG: P4/mmm (123)
E (eV per formula unit): -26.978


Entry 6:
Entry from Alexandria: AgSnS2 after structural relaxation (PBEsol).

POSCAR file:
```
AgSnS2
1.0
-1.214 3.662 0.120
-3.510 -1.199 1.067
1.446 0.312 5.106
Sn S Ag
1 2 1
Direct
0.500 0.500 0.500 Sn
0.000 0.000 0.500 S
0.500 0.500 0.000 S
0.000 0.000 0.000 Ag
```

## Properties
Total moment (μB/atom): 0.00
ΔE_f (raw) (eV per atom): -0.245
Volume (Å³/atom): 19.80
SG: P4/mmm (123)
E (eV per formula unit): -17.320


Entry 7:
Entry from Alexandria: KIrAu2 after structural relaxation (PBEsol).

POSCAR file:
```
KIrAu2
1.0
2.854 0.000 0.000
1.427 2.472 0.000
1.427 0.824 10.180
K Au Ir
1 2 1
Direct
0.000 0.000 0.000 K
0.242 0.242 0.275 Au
0.758 0.758 0.725 Au
0.500 0.500 0.500 Ir
```

## Properties
Total moment (μB/atom): 0.00
Volume (Å³/atom): 17.95
Formation enthalpy at 0 K (eV/atom): 0.44
SG: R-3m (166)
E (eV per formula unit): -17.054


Entry 8:
Entry from Alexandria: MnZn2Ru after structural relaxation (PBEsol).

POSCAR file:
```
MnZn2Ru
1.0
3.746 0.000 0.000
0.000 3.746 0.000
0.000 0.000 3.759
Zn Mn Ru
2 1 1
Direct
0.000 0.500 0.000 Zn
0.500 0.000 0.000 Zn
0.500 0.500 0.500 Mn
0.000 0.000 0.500 Ru
```

## Properties
Total moment (μB/atom): 1.03
Volume (Å³/atom): 13.18
Formation enthalpy at 0 K (eV/atom): 0.03
SG: P4/mmm (123)
E (eV per formula unit): -22.986


Entry 9:
Entry from Alexandria: Hf4AlSi after structural relaxation (PBEsol).

POSCAR file:
```
Hf4AlSi
1.0
-4.052 1.785 -2.703
-4.361 -3.055 -0.457
-3.775 2.808 2.535
Si Hf Al
1 4 1
Direct
0.000 0.000 0.000 Si
0.596 0.500 0.808 Hf
0.096 0.808 0.500 Hf
0.904 0.500 0.192 Hf
0.404 0.192 0.500 Hf
0.500 0.000 0.000 Al
```

## Properties
Total moment (μB/atom): 0.00
ΔE_f (raw) (eV per atom): -0.529
Volume (Å³/atom): 18.88
SG: I422 (97)
E (eV per formula unit): -55.026


Entry 10:
Entry from Alexandria: CaHgPb2 after structural relaxation (PBEsol).

POSCAR file:
```
CaHgPb2
1.0
4.026 0.028 0.000
-0.028 4.026 0.000
0.000 0.000 6.803
Ca Pb Hg
1 2 1
Direct
0.500 0.500 0.500 Ca
0.000 0.000 0.230 Pb
0.000 0.000 0.770 Pb
0.500 0.500 0.000 Hg
```

## Properties
Total moment (μB/atom): 0.00
Volume (Å³/atom): 27.57
Formation enthalpy at 0 K (eV/atom): -0.24
SG: P4/mmm (123)
E (eV per formula unit): -11.671


Entry 11:
Entry from Alexandria: LiScMn3 after structural relaxation (PBEsol).

POSCAR file:
```
LiScMn3
1.0
-0.838 0.919 -3.999
-1.374 -3.909 -0.611
-3.867 1.190 1.084
Mn Li Sc
3 1 1
Direct
0.000 0.500 0.000 Mn
0.000 0.000 0.500 Mn
0.500 0.000 0.000 Mn
0.000 0.000 0.000 Li
0.500 0.500 0.500 Sc
```

## Properties
Total moment (μB/atom): 1.79
Volume (Å³/atom): 14.70
Formation enthalpy at 0 K (eV/atom): 0.90
SG: Pm-3m (221)
E (eV per formula unit): -33.339


Entry 12:
Entry from Alexandria: Ca2CoGe2 after structural relaxation (PBEsol).

POSCAR file:
```
Ca2CoGe2
1.0
4.407 0.000 0.000
0.000 4.407 0.000
-2.203 -2.203 5.978
Ca Ge Co
2 2 1
Direct
0.250 0.750 0.500 Ca
0.750 0.250 0.500 Ca
0.594 0.594 0.187 Ge
0.406 0.406 0.813 Ge
0.000 0.000 0.000 Co
```

## Properties
Total moment (μB/atom): 0.29
Volume (Å³/atom): 23.22
Formation enthalpy at 0 K (eV/atom): 0.48
SG: I4/mmm (139)
E (eV per formula unit): -19.470